Arrangement 1

Density functional theory data (PBE) for a relaxed CaCoMo2 crystal.

Unit cell a=4.8482 b=2.6959 c=5.2139 alpha=78.17 beta=90.00 gamma=90.00
Atoms (fractional coordinates):
1 Co 0.5000 0.7500 0.7500
2 Ca 0.5000 0.2500 0.2500
3 Mo 0.0000 0.5262 0.5092
4 Mo 0.0000 0.9738 0.9908

Results
space group: P2/m (10)
D(E_F): 4.70 states/eV per cell
crystal system: monoclinic
M_tot: 1.11 μB per formula unit

Arrangement 2

Density functional theory data (PBE) for a relaxed CaCoMo2 crystal.

Unit cell a=3.3013 b=3.3013 c=7.0064 alpha=90.00 beta=90.00 gamma=90.00
Atoms (fractional coordinates):
1 Co 0.5000 0.5000 0.7500
2 Mo 0.0000 0.0000 0.9122
3 Mo 0.0000 0.0000 0.5878
4 Ca 0.5000 0.5000 0.2500

Results
space group: P4/mmm (123)
D(E_F): 5.66 states/eV per cell
crystal system: tetragonal
M_tot: 2.29 μB per formula unit

Name the most stable of them. arrangement 2.

Arrangement 1

Density functional theory data (PBE) for a relaxed B2C crystal.

Unit cell a=2.5204 b=2.5204 c=7.5308 alpha=90.00 beta=90.00 gamma=120.00
Atoms (fractional coordinates):
1 B 0.6667 0.3333 0.2455
2 B 0.0000 0.0000 0.3890
3 B 0.0000 0.0000 0.6110
4 B 0.3333 0.6667 0.7545
5 C 0.6667 0.3333 0.0354
6 C 0.3333 0.6667 0.9646

Results
space group: P-3m1 (164)
D(E_F): 0.57 states/eV per cell
crystal system: trigonal
M_tot: 0.00 μB per formula unit

Arrangement 2

Density functional theory data (PBE) for a relaxed B2C crystal.

Unit cell a=4.4445 b=4.4445 c=9.2422 alpha=57.31 beta=57.31 gamma=32.52
Atoms (fractional coordinates):
1 C 0.9905 0.9905 0.9871
2 C 0.4974 0.4974 0.8924
3 C 0.1705 0.1705 0.5399
4 C 0.0181 0.0181 0.5023
5 B 0.1460 0.1460 0.0331
6 B 0.5364 0.5364 0.3903
7 B 0.8206 0.8206 0.2033
8 B 0.3561 0.3561 0.3344
9 B 0.6434 0.6434 0.6652
10 B 0.8364 0.8364 0.6983
11 B 0.3618 0.3618 0.8230
12 B 0.6228 0.6228 0.1807

Results
space group: Cm (8)
D(E_F): 0.95 states/eV per cell
crystal system: monoclinic
M_tot: 0.00 μB per formula unit

Name the most stable of them. arrangement 2.

Arrangement 1

Density functional theory data (PBE) for a relaxed SbSeCl2 crystal.

Unit cell a=5.6910 b=5.6910 c=4.5153 alpha=67.09 beta=67.09 gamma=112.53
Atoms (fractional coordinates):
1 Cl 0.5000 0.5000 0.0000
2 Cl 0.0000 0.0000 0.0000
3 Sb 0.5000 0.0000 0.5000
4 Se 0.0000 0.5000 0.5000

Results
space group: Fmmm (69)
D(E_F): 2.14 states/eV per cell
crystal system: orthorhombic
M_tot: 0.00 μB per formula unit

Arrangement 2

Density functional theory data (PBE) for a relaxed SbSeCl2 crystal.

Unit cell a=7.1113 b=7.1113 c=7.1113 alpha=147.85 beta=142.42 gamma=50.27
Atoms (fractional coordinates):
1 Se 0.2775 0.7775 0.5000
2 Cl 0.7919 0.2919 0.5000
3 Cl 0.0121 0.0121 0.0000
4 Sb 0.4185 0.4185 0.0000

Results
space group: Imm2 (44)
D(E_F): 1.39 states/eV per cell
crystal system: orthorhombic
M_tot: 0.00 μB per formula unit

Name the most stable of them. arrangement 2.

Arrangement 1

Density functional theory data (PBE) for a relaxed SmLuPd crystal.

Unit cell a=4.8903 b=4.8903 c=4.8903 alpha=60.00 beta=60.00 gamma=60.00
Atoms (fractional coordinates):
1 Sm 0.5000 0.5000 0.5000
2 Pd 0.2500 0.2500 0.2500
3 Lu 0.0000 0.0000 0.0000

Results
space group: F-43m (216)
D(E_F): 3.12 states/eV per cell
crystal system: cubic
M_tot: 0.00 μB per formula unit

Arrangement 2

Density functional theory data (PBE) for a relaxed SmLuPd crystal.

Unit cell a=3.5428 b=3.5428 c=6.5774 alpha=105.62 beta=105.62 gamma=90.00
Atoms (fractional coordinates):
1 Sm 0.0216 0.0216 0.0431
2 Lu 0.2996 0.2996 0.5991
3 Pd 0.6789 0.6789 0.3577

Results
space group: I4mm (107)
D(E_F): 2.68 states/eV per cell
crystal system: tetragonal
M_tot: 0.00 μB per formula unit

Name the most stable of them. arrangement 2.

Arrangement 1

Density functional theory data (PBE) for a relaxed La2CrTc crystal.

Unit cell a=5.7587 b=5.7587 c=5.7587 alpha=135.45 beta=135.45 gamma=64.84
Atoms (fractional coordinates):
1 La 0.0000 0.0000 0.0000
2 La 0.2500 0.7500 0.5000
3 Tc 0.5000 0.5000 0.0000
4 Cr 0.7500 0.2500 0.5000

Results
space group: I-4m2 (119)
D(E_F): 5.17 states/eV per cell
crystal system: tetragonal
M_tot: 4.25 μB per formula unit

Arrangement 2

Density functional theory data (PBE) for a relaxed La2CrTc crystal.

Unit cell a=9.4124 b=9.4124 c=9.4124 alpha=21.38 beta=21.38 gamma=21.38
Atoms (fractional coordinates):
1 La 0.9952 0.9952 0.9952
2 La 0.5048 0.5048 0.5048
3 Cr 0.7500 0.7500 0.7500
4 Tc 0.2500 0.2500 0.2500

Results
space group: R-3m (166)
D(E_F): 4.43 states/eV per cell
crystal system: trigonal
M_tot: 3.29 μB per formula unit

Name the most stable of them. arrangement 1.

Arrangement 1

Density functional theory data (PBE) for a relaxed LaNbH crystal.

Unit cell a=3.0175 b=3.0175 c=5.5847 alpha=90.00 beta=90.00 gamma=90.00
Atoms (fractional coordinates):
1 Nb 0.0000 0.0000 0.0000
2 H 0.5000 0.5000 0.0000
3 La 0.5000 0.5000 0.5000

Results
space group: P4/mmm (123)
D(E_F): 2.06 states/eV per cell
crystal system: tetragonal
M_tot: 0.00 μB per formula unit

Arrangement 2

Density functional theory data (PBE) for a relaxed LaNbH crystal.

Unit cell a=3.1758 b=3.1758 c=5.3855 alpha=90.00 beta=90.00 gamma=90.00
Atoms (fractional coordinates):
1 Nb 0.0000 0.0000 0.1979
2 H 0.0000 0.0000 0.8337
3 La 0.5000 0.5000 0.6942

Results
space group: P4mm (99)
D(E_F): 3.46 states/eV per cell
crystal system: tetragonal
M_tot: 0.00 μB per formula unit

Name the most stable of them. arrangement 1.